1.
## Tb2PmZn2Si2 (PBE)

Data for Tb2PmZn2Si2 after structural relaxation.

Summary:
Its total energy is -4.380 eV per atom. The calculation puts the energy relative to the elements, uncorrected at -465 meV/atom.

abc: 4.0921 4.0921 33.7941
angles: 90.00 90.00 120.00
Space group R-3m (No. 166, hexagonal axes)
Asymmetric unit:
Tb1 0.0000 0.0000 0.1224
Pm1 0.0000 0.0000 0.0000
Zn1 0.0000 0.0000 0.3954
Si1 0.0000 0.0000 0.2692


2.
## Mg3CdNi (PBE)

Data for Mg3CdNi after structural relaxation.

Summary:
As for the polymorph energy (0 for the lowest one): 2.2 meV/atom. Its total energy is -2.372 eV per atom. As for the energy relative to the elements: -0.08 eV/atom.

abc: 14.884 3.073 8.562
angles: 90.00 92.64 90.00
Space group C2/m (No. 12)
Asymmetric unit:
Mg1 0.060 0.000 0.252
Mg2 0.105 0.500 0.577
Mg3 0.246 0.500 0.183
Cd1 0.092 0.500 0.932
Ni1 0.210 0.000 0.419


3.
## CdGa10Pb2 (PBE)

Data for CdGa10Pb2 after structural relaxation.

Summary:
Its total energy is -2.797 eV per atom. As for the energy relative to the elements: 0.17 eV/atom.

abc: 8.195 14.385 6.084
angles: 90.00 90.00 90.00
Space group Pbam (No. 55)
Asymmetric unit:
Cd1 0.000 0.000 0.000
Ga1 0.059 0.350 0.000
Ga2 0.064 0.806 0.000
Ga3 0.168 0.529 0.000
Ga4 0.227 0.893 0.300
Pb1 0.141 0.094 0.500


4.
## AgPd2Rh (PBE)

Data for AgPd2Rh after structural relaxation.

Summary:
As for the polymorph energy (0 for the lowest one): 413.0 meV/atom. Its total energy is -4.676 eV per atom. As for the energy relative to the elements: 0.47 eV/atom.

abc: 3.828 3.828 18.623
angles: 90.00 90.00 90.00
Space group I-42d (No. 122)
Asymmetric unit:
Ag1 0.000 0.000 0.000
Pd1 0.240 0.250 0.625
Rh1 0.000 0.000 0.500